Entry 1:
The following is a PBE-GGA calculation of an optimized crystal structure of HfZnAg2O, from Alexandria. Values from VASP.

Computed properties:
As for the space group: No. 123. As for the total magnetic moment: 0.00 Bohr magnetons per cell. Its density of states at the Fermi level is 1.759 states/eV per atom. The calculation puts the uncorrected formation energy at 1.6083 eV per atom.

```
&SYSTEM
  ibrav = 0, nat = 5, ntyp = 4
/
ATOMIC_SPECIES
Hf 178.49 Hf.upf
Zn 65.41 Zn.upf
Ag 107.87 Ag.upf
O 16.00 O.upf
ATOMIC_POSITIONS angstrom
Hf 0.000 0.000 0.000
Zn 0.000 0.000 2.669
Ag 0.000 2.637 0.000
Ag 2.637 0.000 0.000
O 2.637 2.637 2.669
CELL_PARAMETERS angstrom
5.274 0.000 0.000
0.000 5.274 0.000
0.000 0.000 5.338
```

***

Entry 2:
The following is a PBE-GGA calculation of an optimized crystal structure of Cs3DyHo2Te6, from Alexandria. Values from VASP.

Computed properties:
As for the space group: No. 12. As for the total magnetic moment: 0.00 Bohr magnetons per cell. The calculation puts the uncorrected formation energy at -1.3808 eV per atom.

```
&SYSTEM
  ibrav = 0, nat = 12, ntyp = 4
/
ATOMIC_SPECIES
Cs 132.91 Cs.upf
Dy 162.50 Dy.upf
Ho 164.93 Ho.upf
Te 127.60 Te.upf
ATOMIC_POSITIONS angstrom
Cs 0.000 0.000 0.000
Cs 3.935 2.269 0.000
Cs 3.935 -2.269 0.000
Dy 2.623 0.000 4.458
Ho 2.623 4.543 4.458
Ho 2.623 -4.543 4.458
Te 1.307 2.278 2.772
Te -0.008 0.000 6.144
Te 1.307 -2.278 2.772
Te 3.938 2.278 6.145
Te 5.253 0.000 2.773
Te 3.938 -2.278 6.145
CELL_PARAMETERS angstrom
3.935 -6.815 0.000
3.935 6.815 0.000
-2.624 0.000 8.917
```

***

Entry 3:
The following is a PBE-GGA calculation of an optimized crystal structure of Mg2TlGa2, from Alexandria. Values from VASP.

Computed properties:
As for the space group: No. 139. The formation energy comes out at 10 meV per atom. Its energy above the most stable polymorph in this dataset is 73 meV per atom. As for the total magnetic moment: 0.00 Bohr magnetons per cell. Its density of states at the Fermi level is 0.505 states/eV per atom.

```
&SYSTEM
  ibrav = 0, nat = 10, ntyp = 3
/
ATOMIC_SPECIES
Mg 24.30 Mg.upf
Tl 204.38 Tl.upf
Ga 69.72 Ga.upf
ATOMIC_POSITIONS angstrom
Mg 0.000 2.223 2.976
Mg 0.000 2.223 8.928
Mg 2.223 0.000 2.976
Mg 2.223 0.000 8.928
Tl 0.000 0.000 0.000
Tl 2.223 2.223 5.952
Ga 0.000 0.000 4.714
Ga 0.000 0.000 7.190
Ga 2.223 2.223 1.238
Ga 2.223 2.223 10.666
CELL_PARAMETERS angstrom
4.447 0.000 0.000
0.000 4.447 0.000
0.000 0.000 11.904
```

***

Entry 4:
The following is a PBE-GGA calculation of an optimized crystal structure of BaBeP2S, from Alexandria. Values from VASP.

Computed properties:
As for the space group: No. 123. Its energy above the most stable polymorph in this dataset is 1833 meV per atom. As for the total magnetic moment: 4.04 Bohr magnetons per cell. Its density of states at the Fermi level is 1.521 states/eV per atom. The calculation puts the uncorrected formation energy at 1.5885 eV per atom.

```
&SYSTEM
  ibrav = 0, nat = 5, ntyp = 4
/
ATOMIC_SPECIES
Ba 137.33 Ba.upf
Be 9.01 Be.upf
P 30.97 P.upf
S 32.06 S.upf
ATOMIC_POSITIONS angstrom
Ba 0.000 0.000 0.000
Be 3.227 3.227 2.980
P 0.000 3.227 0.000
P 3.227 0.000 0.000
S 0.000 0.000 2.980
CELL_PARAMETERS angstrom
6.454 0.000 0.000
0.000 6.454 0.000
0.000 0.000 5.960
```